A geometry-optimized NiAgP structure. Source: Alexandria, functional PBE.

Structure (POSCAR):
```
NiAgP
1.0
3.8278 0.0000 0.0000
0.0000 3.8278 0.0000
0.0000 0.0000 6.0000
Ni Ag P
2 2 2
Cartesian
0.0000 0.0000 3.0000 Ni
1.9139 1.9139 3.0000 Ni
1.9139 0.0000 0.8134 Ag
0.0000 1.9139 5.1866 Ag
1.9139 0.0000 4.2637 P
0.0000 1.9139 1.7362 P
```

Relative energy among the computed polymorphs ... 0.0 meV/atom
D(E_F) ... 0.767 states/eV per atom
Volume ... 14.65 Å³ per atom
Crystal system ... tetragonal

---

A geometry-optimized Na3CaY structure. Source: Alexandria, functional PBE.

Structure (POSCAR):
```
Na3CaY
1.0
-1.6613 -4.7419 -3.0574
1.8627 -3.4694 4.3689
-5.3258 0.2657 2.4817
Y Na Ca
1 3 1
Cartesian
-2.5622 -3.9728 1.8966 Y
0.9314 -1.7347 2.1844 Na
-2.6629 0.1329 1.2409 Na
-0.8306 -2.3710 -1.5287 Na
0.0000 0.0000 0.0000 Ca
```

Relative energy among the computed polymorphs ... 0.0 meV/atom
D(E_F) ... 1.414 states/eV per atom
Volume ... 40.69 Å³ per atom
Crystal system ... cubic

---

A geometry-optimized NaAgF5 structure. Source: Alexandria, functional PBE.

Structure (POSCAR):
```
NaAgF5
1.0
-2.1863 -2.3790 4.4691
2.9775 -4.3993 1.4806
4.5872 1.7717 6.7287
F Ag Na
10 2 2
Cartesian
6.0270 -2.3950 9.4003 F
1.5168 -0.7060 4.1634 F
0.7394 -4.8623 5.6301 F
1.6851 -2.4795 7.2213 F
-0.6486 -2.6116 3.2781 F
-0.8222 -2.0211 6.0254 F
3.6932 -2.5272 5.4570 F
3.8616 -4.3007 8.5150 F
6.2006 -2.9856 6.6529 F
4.6390 -0.1443 7.0482 F
0.0000 0.0000 0.0000 Ag
2.2936 0.8858 3.3643 Ag
1.4574 -2.9130 4.7062 Na
3.9210 -2.0937 7.9721 Na
```

Uncorrected formation energy ... -1.45 eV per atom
Volume ... 15.41 Å³ per atom
Crystal system ... monoclinic

---

A geometry-optimized Y2TlCuTe structure. Source: Alexandria, functional PBE.

Structure (POSCAR):
```
Y2TlCuTe
1.0
5.6523 0.0000 0.0000
0.0000 6.0099 0.0000
0.0000 0.0000 5.6523
Te Cu Y Tl
1 1 2 1
Cartesian
0.0000 0.0000 0.0000 Te
2.8261 3.0049 2.8261 Cu
0.0000 0.0000 2.8261 Y
2.8261 0.0000 0.0000 Y
0.0000 3.0049 0.0000 Tl
```

Uncorrected formation energy ... 0.47 eV per atom
D(E_F) ... 1.351 states/eV per atom
Volume ... 38.40 Å³ per atom
Crystal system ... tetragonal

---

A geometry-optimized CaPmSmTh structure. Source: Alexandria, functional PBE.

Structure (POSCAR):
```
CaPmSmTh
1.0
-2.0241 1.6127 -5.2039
-4.4822 -2.8326 -2.3799
-5.1826 2.5957 -0.4252
Pm Th Sm Ca
1 1 1 1
Cartesian
0.0000 0.0000 0.0000 Pm
-8.7667 1.0318 -6.0068 Th
-5.8445 0.6879 -4.0045 Sm
-2.9222 0.3439 -2.0023 Ca
```

D(E_F) ... 1.981 states/eV per atom
Volume ... 34.70 Å³ per atom
Calculated total energy ... -4.4983 eV/atom
Crystal system ... cubic

---

A geometry-optimized YHg2Br structure. Source: Alexandria, functional PBE.

Structure (POSCAR):
```
YHg2Br
1.0
-5.5216 0.7249 0.7773
-4.6541 -2.9741 1.0547
-1.2032 0.1422 5.6596
Hg Y Br
2 1 1
Cartesian
-2.6150 -0.4975 1.5448 Hg
-10.1297 -2.2222 2.0484 Hg
-5.7888 -1.0291 4.3814 Y
-8.7105 -1.6609 5.0947 Br
```

Uncorrected formation energy ... -0.58 eV per atom
Relative energy among the computed polymorphs ... 8.9 meV/atom
D(E_F) ... 0.319 states/eV per atom
Volume ... 27.16 Å³ per atom
Crystal system ... monoclinic